Entry 1:
Crystalline Al8AgPd2 at its relaxed geometry, computed with GGA-PBE.

Cell lengths 4.810, 5.215, 8.003 Å; angles 108.63, 107.17, 90.70 degrees
Positions (direct):
Al (0.102, 0.101, 0.203)
Al (0.250, 0.451, 0.001)
Al (0.313, 0.565, 0.634)
Al (0.322, 0.069, 0.635)
Al (0.678, 0.931, 0.365)
Al (0.687, 0.435, 0.366)
Al (0.750, 0.549, 0.999)
Al (0.898, 0.899, 0.797)
Ag (0.500, 0.000, 0.000)
Pd (0.159, 0.660, 0.320)
Pd (0.841, 0.340, 0.680)

Values from the calculation:
D(E_F): 2.35 states/eV per cell
space-group type: P-1 (2)
formation energy from the elements: -337 meV/atom
electronic total energy: -4.2626 eV/atom
E above lowest polymorph: 0 meV/atom

=====

Entry 2:
Crystalline Cu2RhAu at its relaxed geometry, computed with GGA-PBE.

Cell lengths 5.145, 5.145, 5.145 Å; angles 147.05, 129.60, 61.54 degrees
Positions (direct):
Cu (0.000, 0.000, 0.000)
Cu (0.771, 0.271, 0.500)
Rh (0.522, 0.522, 0.000)
Au (0.252, 0.752, 0.500)

Values from the calculation:
D(E_F): 3.61 states/eV per cell
space-group type: Imm2 (44)
formation energy from the elements: 87 meV/atom
electronic total energy: -4.6184 eV/atom

=====

Entry 3:
Crystalline CaCrNi at its relaxed geometry, computed with GGA-PBE.

Cell lengths 5.764, 5.764, 5.764 Å; angles 146.99, 146.99, 47.38 degrees
Positions (direct):
Ca (0.000, 0.000, 0.000)
Cr (0.717, 0.717, 0.000)
Ni (0.299, 0.299, 0.000)

Values from the calculation:
D(E_F): 3.15 states/eV per cell
space-group type: I4mm (107)
formation energy from the elements: 349 meV/atom
electronic total energy: -5.4530 eV/atom
E above lowest polymorph: 132 meV/atom

=====

Entry 4:
Crystalline BeZnTe2 at its relaxed geometry, computed with GGA-PBE.

Cell lengths 4.159, 7.253, 6.882 Å; angles 90.00, 90.00, 90.00 degrees
Positions (direct):
Be (0.000, 0.161, 0.000)
Be (0.000, 0.839, 0.500)
Zn (0.500, 0.330, 0.497)
Zn (0.500, 0.670, 0.997)
Te (0.000, 0.150, 0.641)
Te (0.000, 0.850, 0.141)
Te (0.500, 0.318, 0.110)
Te (0.500, 0.682, 0.610)

Values from the calculation:
D(E_F): 0.00 states/eV per cell
E_form (uncorrected): -396 meV per atom
space-group type: Pmc2_1 (26)
electronic total energy: -3.2165 eV/atom
E above lowest polymorph: 12 meV/atom

=====

Entry 5:
Crystalline LiSiIO2 at its relaxed geometry, computed with GGA-PBE.

Cell lengths 3.929, 3.929, 5.145 Å; angles 90.00, 90.00, 90.00 degrees
Positions (direct):
Li (0.000, 0.000, 0.000)
Si (0.500, 0.500, 0.500)
I (0.000, 0.000, 0.500)
O (0.000, 0.500, 0.000)
O (0.500, 0.000, 0.000)

Values from the calculation:
D(E_F): 6.48 states/eV per cell
E_form (uncorrected): 379 meV per atom
space-group type: P4/mmm (123)
electronic total energy: -3.3817 eV/atom
E above lowest polymorph: 1644 meV/atom

=====

Entry 6:
Crystalline Ca2Cd6CuPd at its relaxed geometry, computed with GGA-PBE.

Cell lengths 12.386, 12.386, 12.386 Å; angles 32.61, 32.61, 32.61 degrees
Positions (direct):
Ca (0.110, 0.110, 0.110)
Ca (0.283, 0.283, 0.283)
Ca (0.717, 0.717, 0.717)
Ca (0.890, 0.890, 0.890)
Cd (0.078, 0.661, 0.661)
Cd (0.220, 0.220, 0.666)
Cd (0.220, 0.666, 0.220)
Cd (0.334, 0.780, 0.780)
Cd (0.339, 0.339, 0.922)
Cd (0.339, 0.922, 0.339)
Cd (0.661, 0.078, 0.661)
Cd (0.661, 0.661, 0.078)
Cd (0.666, 0.220, 0.220)
Cd (0.780, 0.334, 0.780)
Cd (0.780, 0.780, 0.334)
Cd (0.922, 0.339, 0.339)
Cu (0.000, 0.000, 0.000)
Cu (0.500, 0.500, 0.500)
Pd (0.426, 0.426, 0.426)
Pd (0.574, 0.574, 0.574)

Values from the calculation:
D(E_F): 10.48 states/eV per cell
space-group type: R-3m (166)
formation energy from the elements: -200 meV/atom
electronic total energy: -2.0782 eV/atom

=====

Entry 7:
Crystalline OsPbF3 at its relaxed geometry, computed with GGA-PBE.

Cell lengths 4.310, 4.310, 4.310 Å; angles 90.00, 90.00, 90.00 degrees
Positions (direct):
Os (0.000, 0.000, 0.000)
Pb (0.500, 0.500, 0.500)
F (0.000, 0.000, 0.500)
F (0.000, 0.500, 0.000)
F (0.500, 0.000, 0.000)

Values from the calculation:
D(E_F): 4.04 states/eV per cell
E_form (uncorrected): -614 meV per atom
space-group type: Pm-3m (221)
electronic total energy: -4.7244 eV/atom
E above lowest polymorph: 0 meV/atom

=====

Entry 8:
Crystalline YTmRh at its relaxed geometry, computed with GGA-PBE.

Cell lengths 6.724, 6.724, 6.724 Å; angles 150.44, 150.44, 42.30 degrees
Positions (direct):
Y (0.000, 0.000, 0.000)
Tm (0.737, 0.737, 0.000)
Rh (0.363, 0.363, 0.000)

Values from the calculation:
D(E_F): 3.45 states/eV per cell
space-group type: I4mm (107)
formation energy from the elements: -580 meV/atom
electronic total energy: -6.6761 eV/atom
E above lowest polymorph: 24 meV/atom

=====

Entry 9:
Crystalline K3LiOs at its relaxed geometry, computed with GGA-PBE.

Cell lengths 6.346, 6.346, 6.346 Å; angles 90.00, 90.00, 90.00 degrees
Positions (direct):
K (0.000, 0.000, 0.500)
K (0.000, 0.500, 0.000)
K (0.500, 0.000, 0.000)
Li (0.500, 0.500, 0.500)
Os (0.000, 0.000, 0.000)

Values from the calculation:
D(E_F): 1.56 states/eV per cell
space-group type: Pm-3m (221)
formation energy from the elements: 1175 meV/atom
electronic total energy: -2.1126 eV/atom
E above lowest polymorph: 0 meV/atom

=====

Entry 10:
Crystalline AgP3 at its relaxed geometry, computed with GGA-PBE.

Cell lengths 6.360, 5.900, 7.615 Å; angles 90.00, 90.00, 90.00 degrees
Positions (direct):
Ag (0.078, 0.250, 0.121)
Ag (0.422, 0.750, 0.621)
Ag (0.578, 0.250, 0.379)
Ag (0.922, 0.750, 0.879)
P (0.085, 0.250, 0.612)
P (0.215, 0.018, 0.404)
P (0.215, 0.482, 0.404)
P (0.285, 0.518, 0.904)
P (0.285, 0.982, 0.904)
P (0.415, 0.750, 0.112)
P (0.585, 0.250, 0.888)
P (0.715, 0.018, 0.096)
P (0.715, 0.482, 0.096)
P (0.785, 0.518, 0.596)
P (0.785, 0.982, 0.596)
P (0.915, 0.750, 0.388)

Values from the calculation:
D(E_F): 6.25 states/eV per cell
space-group type: Pnma (62)
formation energy from the elements: 352 meV/atom
electronic total energy: -4.4178 eV/atom
E above lowest polymorph: 169 meV/atom

=====

Entry 11:
Crystalline NaHfBr5 at its relaxed geometry, computed with GGA-PBE.

Cell lengths 7.414, 7.414, 10.673 Å; angles 108.50, 108.50, 93.03 degrees
Positions (direct):
Na (0.075, 0.925, 0.750)
Na (0.925, 0.075, 0.250)
Hf (0.000, 0.500, 0.000)
Hf (0.500, 0.000, 0.500)
Br (0.193, 0.618, 0.870)
Br (0.220, 0.244, 0.026)
Br (0.240, 0.760, 0.250)
Br (0.244, 0.220, 0.526)
Br (0.382, 0.807, 0.630)
Br (0.618, 0.193, 0.370)
Br (0.756, 0.780, 0.474)
Br (0.760, 0.240, 0.750)
Br (0.780, 0.756, 0.974)
Br (0.807, 0.382, 0.130)

Values from the calculation:
D(E_F): 0.00 states/eV per cell
E_form (uncorrected): -1379 meV per atom
space-group type: C2/c (15)
electronic total energy: -4.1840 eV/atom

=====

Entry 12:
Crystalline GaSiNi4 at its relaxed geometry, computed with GGA-PBE.

Cell lengths 4.603, 4.603, 6.281 Å; angles 110.67, 110.67, 33.70 degrees
Positions (direct):
Ga (0.000, 0.000, 0.000)
Si (0.000, 0.000, 0.500)
Ni (0.332, 0.332, 0.188)
Ni (0.351, 0.351, 0.655)
Ni (0.649, 0.649, 0.345)
Ni (0.668, 0.668, 0.812)

Values from the calculation:
D(E_F): 3.47 states/eV per cell
E_form (uncorrected): -360 meV per atom
space-group type: C2/m (12)
electronic total energy: -5.6226 eV/atom
E above lowest polymorph: 0 meV/atom

=====

Entry 13:
Crystalline LaHo2Tl3Te6 at its relaxed geometry, computed with GGA-PBE.

Cell lengths 7.818, 7.818, 8.576 Å; angles 98.75, 98.75, 119.97 degrees
Positions (direct):
La (0.000, 0.000, 0.000)
Ho (0.333, 0.667, 0.000)
Ho (0.667, 0.333, 0.000)
Tl (0.163, 0.837, 0.500)
Tl (0.500, 0.500, 0.500)
Tl (0.837, 0.163, 0.500)
Te (0.072, 0.418, 0.216)
Te (0.275, 0.275, 0.787)
Te (0.418, 0.072, 0.216)
Te (0.582, 0.928, 0.784)
Te (0.725, 0.725, 0.213)
Te (0.928, 0.582, 0.784)

Values from the calculation:
E_form (uncorrected): -1080 meV per atom
space-group type: C2/m (12)
electronic total energy: -4.4158 eV/atom

=====

Entry 14:
Crystalline RbZn2BS4 at its relaxed geometry, computed with GGA-PBE.

Cell lengths 6.061, 6.061, 6.061 Å; angles 118.61, 118.61, 92.42 degrees
Positions (direct):
Rb (0.000, 0.000, 0.000)
Zn (0.250, 0.750, 0.500)
Zn (0.750, 0.250, 0.500)
B (0.500, 0.500, 0.000)
S (0.186, 0.186, 0.639)
S (0.453, 0.814, 0.000)
S (0.547, 0.547, 0.361)
S (0.814, 0.453, 0.000)

Values from the calculation:
E_form (uncorrected): -635 meV per atom
space-group type: I-42m (121)
electronic total energy: -3.9729 eV/atom

=====

Entry 15:
Crystalline Cs3RbHAu2 at its relaxed geometry, computed with GGA-PBE.

Cell lengths 10.272, 10.272, 10.272 Å; angles 148.54, 147.24, 46.05 degrees
Positions (direct):
Cs (0.000, 0.000, 0.000)
Cs (0.324, 0.824, 0.500)
Cs (0.676, 0.176, 0.500)
Rb (0.500, 0.500, 0.000)
H (0.500, 0.000, 0.500)
Au (0.129, 0.629, 0.500)
Au (0.871, 0.371, 0.500)

Values from the calculation:
D(E_F): 4.63 states/eV per cell
space-group type: Immm (71)
electronic total energy: -2.1334 eV/atom

=====

Entry 16:
Crystalline CsUBr3Cl at its relaxed geometry, computed with GGA-PBE.

Cell lengths 12.557, 12.557, 5.203 Å; angles 101.90, 101.90, 140.34 degrees
Positions (direct):
Cs (0.188, 0.812, 0.750)
Cs (0.812, 0.188, 0.250)
U (0.442, 0.558, 0.250)
U (0.558, 0.442, 0.750)
Br (0.214, 0.312, 0.513)
Br (0.312, 0.214, 0.013)
Br (0.318, 0.682, 0.250)
Br (0.682, 0.318, 0.750)
Br (0.688, 0.786, 0.987)
Br (0.786, 0.688, 0.487)
Cl (0.103, 0.897, 0.250)
Cl (0.897, 0.103, 0.750)

Values from the calculation:
D(E_F): 13.08 states/eV per cell
E_form (uncorrected): -1364 meV per atom
space-group type: C2/c (15)
electronic total energy: -4.5321 eV/atom

=====

Entry 17:
Crystalline ThScTlAu at its relaxed geometry, computed with GGA-PBE.

Cell lengths 5.224, 5.224, 5.224 Å; angles 60.00, 60.00, 60.00 degrees
Positions (direct):
Th (0.000, 0.000, 0.000)
Sc (0.500, 0.500, 0.500)
Tl (0.750, 0.750, 0.750)
Au (0.250, 0.250, 0.250)

Values from the calculation:
D(E_F): 3.71 states/eV per cell
space-group type: F-43m (216)
formation energy from the elements: -354 meV/atom
electronic total energy: -5.2024 eV/atom

=====

Entry 18:
Crystalline SrAl3CuPd at its relaxed geometry, computed with GGA-PBE.

Cell lengths 7.236, 7.236, 5.783 Å; angles 90.00, 90.00, 127.15 degrees
Positions (direct):
Sr (0.219, 0.781, 0.750)
Sr (0.781, 0.219, 0.250)
Al (0.202, 0.202, 0.000)
Al (0.202, 0.202, 0.500)
Al (0.362, 0.638, 0.250)
Al (0.638, 0.362, 0.750)
Al (0.798, 0.798, 0.000)
Al (0.798, 0.798, 0.500)
Cu (0.138, 0.862, 0.250)
Cu (0.862, 0.138, 0.750)
Pd (0.439, 0.561, 0.750)
Pd (0.561, 0.439, 0.250)

Values from the calculation:
D(E_F): 4.76 states/eV per cell
space-group type: Cmcm (63)
formation energy from the elements: -306 meV/atom
electronic total energy: -4.0054 eV/atom

=====

Entry 19:
Crystalline Cs2TiTlCl6 at its relaxed geometry, computed with GGA-PBE.

Cell lengths 7.815, 7.815, 7.815 Å; angles 60.00, 60.00, 60.00 degrees
Positions (direct):
Cs (0.250, 0.250, 0.250)
Cs (0.750, 0.750, 0.750)
Ti (0.000, 0.000, 0.000)
Tl (0.500, 0.500, 0.500)
Cl (0.221, 0.221, 0.779)
Cl (0.221, 0.779, 0.221)
Cl (0.221, 0.779, 0.779)
Cl (0.779, 0.221, 0.221)
Cl (0.779, 0.221, 0.779)
Cl (0.779, 0.779, 0.221)

Values from the calculation:
D(E_F): 8.37 states/eV per cell
E_form (uncorrected): -1666 meV per atom
space-group type: Fm-3m (225)
electronic total energy: -3.9708 eV/atom

=====

Entry 20:
Crystalline ZrInSb2S at its relaxed geometry, computed with GGA-PBE.

Cell lengths 5.152, 5.152, 5.067 Å; angles 90.00, 90.00, 90.00 degrees
Positions (direct):
Zr (0.000, 0.000, 0.000)
In (0.500, 0.500, 0.000)
Sb (0.000, 0.500, 0.500)
Sb (0.500, 0.000, 0.500)
S (0.500, 0.500, 0.500)

Values from the calculation:
D(E_F): 4.58 states/eV per cell
E_form (uncorrected): 440 meV per atom
space-group type: P4/mmm (123)
electronic total energy: -4.2915 eV/atom